[1]
{
  "formula": "NaCrTc2",
  "functional": "GGA-PBE",
  "state": "optimized geometry",
  "density_g_cm3": 6.3,
  "ef_kcal_per_mol_atoms": 26.51,
  "space_group": "I-42d, No. 122",
  "n_ef_per_ev_cell": 6.640,
  "cell": [[-1.894, 1.894, 9.881], [1.894, -1.894, 9.881], [1.894, 1.894, -9.881]],
  "species": ["Na", "Na", "Cr", "Cr", "Tc", "Tc", "Tc", "Tc"],
  "fractional_positions": [[0.000, 0.000, 0.000], [0.750, 0.250, 0.500], [0.250, 0.750, 0.500], [0.500, 0.500, 0.000], [0.183, 0.625, 0.058], [0.375, 0.433, 0.558], [0.567, 0.125, 0.942], [0.875, 0.817, 0.442]]
}

=====

[2]
{
  "formula": "NaCrTc",
  "functional": "GGA-PBE",
  "state": "optimized geometry",
  "density_g_cm3": 5.8,
  "ef_kcal_per_mol_atoms": 12.72,
  "n_ef_per_ev_cell": 4.837,
  "cell": [[2.987, -0.013, 0.001], [0.020, 4.448, 0.038], [0.008, 2.219, 7.526]],
  "species": ["Tc", "Tc", "Cr", "Cr", "Na", "Na"],
  "fractional_positions": [[0.384, 0.226, 0.831], [0.885, 0.726, 0.831], [0.385, 0.589, 0.098], [0.884, 0.089, 0.098], [0.385, 0.909, 0.465], [0.885, 0.409, 0.466]]
}

=====

[3]
{
  "formula": "NaCr3Tc",
  "functional": "GGA-PBE",
  "state": "optimized geometry",
  "density_g_cm3": 4.3,
  "ef_kcal_per_mol_atoms": 26.59,
  "space_group": "Pm-3m, No. 221",
  "n_ef_per_ev_cell": 3.766,
  "cell": [[4.756, 0.000, 0.000], [0.000, 4.756, 0.000], [0.000, 0.000, 4.756]],
  "species": ["Na", "Cr", "Cr", "Cr", "Tc"],
  "fractional_positions": [[0.000, 0.000, 0.000], [0.000, 0.500, 0.500], [0.500, 0.000, 0.500], [0.500, 0.500, 0.000], [0.500, 0.500, 0.500]]
}

=====

[4]
{
  "formula": "NaCrTc3",
  "functional": "GGA-PBE",
  "state": "optimized geometry",
  "density_g_cm3": 7.3,
  "ef_kcal_per_mol_atoms": 64.09,
  "space_group": "Pm-3m, No. 221",
  "n_ef_per_ev_cell": 7.940,
  "cell": [[4.376, 0.000, 0.000], [0.000, 4.376, 0.000], [0.000, 0.000, 4.376]],
  "species": ["Na", "Cr", "Tc", "Tc", "Tc"],
  "fractional_positions": [[0.000, 0.000, 0.000], [0.500, 0.500, 0.500], [0.000, 0.000, 0.500], [0.000, 0.500, 0.000], [0.500, 0.000, 0.000]]
}

=====

[5]
{
  "formula": "NaY2CrTc",
  "functional": "GGA-PBE",
  "state": "optimized geometry",
  "density_g_cm3": 4.4,
  "ef_kcal_per_mol_atoms": 36.42,
  "space_group": "P4/mmm, No. 123",
  "n_ef_per_ev_cell": 5.652,
  "cell": [[5.321, 0.000, 0.000], [0.000, 5.321, 0.000], [0.000, 0.000, 4.634]],
  "species": ["Na", "Y", "Y", "Cr", "Tc"],
  "fractional_positions": [[0.000, 0.000, 0.000], [0.000, 0.500, 0.000], [0.500, 0.000, 0.000], [0.500, 0.500, 0.500], [0.000, 0.000, 0.500]]
}

=====

[6]
{
  "formula": "NaY2CrTc",
  "functional": "GGA-PBE",
  "state": "optimized geometry",
  "density_g_cm3": 4.3,
  "ef_kcal_per_mol_atoms": 30.15,
  "space_group": "P4/mmm, No. 123",
  "n_ef_per_ev_cell": 5.895,
  "cell": [[5.222, 0.000, 0.000], [0.000, 5.222, 0.000], [0.000, 0.000, 5.012]],
  "species": ["Na", "Y", "Y", "Cr", "Tc"],
  "fractional_positions": [[0.000, 0.000, 0.000], [0.000, 0.500, 0.500], [0.500, 0.000, 0.500], [0.000, 0.000, 0.500], [0.500, 0.500, 0.000]]
}

=====

[7]
{
  "formula": "NaZnCr2Tc",
  "functional": "GGA-PBE",
  "state": "optimized geometry",
  "density_g_cm3": 4.8,
  "ef_kcal_per_mol_atoms": 44.98,
  "space_group": "P4/mmm, No. 123",
  "n_ef_per_ev_cell": 5.929,
  "cell": [[4.713, 0.000, 0.000], [0.000, 4.713, 0.000], [0.000, 0.000, 4.503]],
  "species": ["Na", "Zn", "Cr", "Cr", "Tc"],
  "fractional_positions": [[0.000, 0.000, 0.000], [0.000, 0.000, 0.500], [0.000, 0.500, 0.000], [0.500, 0.000, 0.000], [0.500, 0.500, 0.500]]
}

=====

[8]
{
  "formula": "NaCrTe3",
  "functional": "GGA-PBE",
  "state": "optimized geometry",
  "density_g_cm3": 5.4,
  "e_form_raw_ev_per_atom": 0.11,
  "space_group": "Pm-3m, No. 221",
  "n_ef_per_ev_cell": 9.827,
  "cell": [[5.206, 0.000, 0.000], [0.000, 5.206, 0.000], [0.000, 0.000, 5.206]],
  "species": ["Na", "Cr", "Te", "Te", "Te"],
  "fractional_positions": [[0.000, 0.000, 0.000], [0.500, 0.500, 0.500], [0.000, 0.500, 0.500], [0.500, 0.000, 0.500], [0.500, 0.500, 0.000]]
}

=====

[9]
{
  "formula": "Na2Cr2Te",
  "functional": "GGA-PBE",
  "state": "optimized geometry",
  "density_g_cm3": 3.5,
  "e_form_raw_ev_per_atom": 0.71,
  "space_group": "P4/mbm, No. 127",
  "n_ef_per_ev_cell": 0.725,
  "cell": [[7.519, 0.000, 0.000], [0.000, 7.519, 0.000], [0.000, 0.000, 4.696]],
  "species": ["Na", "Na", "Na", "Na", "Cr", "Cr", "Cr", "Cr", "Te", "Te"],
  "fractional_positions": [[0.139, 0.361, 0.000], [0.361, 0.861, 0.000], [0.639, 0.139, 0.000], [0.861, 0.639, 0.000], [0.156, 0.656, 0.500], [0.344, 0.156, 0.500], [0.656, 0.844, 0.500], [0.844, 0.344, 0.500], [0.000, 0.000, 0.000], [0.500, 0.500, 0.000]]
}

=====

[10]
{
  "formula": "NaCr2Te2",
  "functional": "GGA-PBE",
  "state": "optimized geometry",
  "density_g_cm3": 5.1,
  "e_form_raw_ev_per_atom": 0.23,
  "space_group": "P4/mbm, No. 127",
  "n_ef_per_ev_cell": 3.461,
  "cell": [[8.171, 0.000, 0.000], [0.000, 8.171, 0.000], [0.000, 0.000, 3.704]],
  "species": ["Na", "Na", "Cr", "Cr", "Cr", "Cr", "Te", "Te", "Te", "Te"],
  "fractional_positions": [[0.000, 0.000, 0.000], [0.500, 0.500, 0.000], [0.082, 0.418, 0.500], [0.418, 0.918, 0.500], [0.582, 0.082, 0.500], [0.918, 0.582, 0.500], [0.163, 0.663, 0.000], [0.337, 0.163, 0.000], [0.663, 0.837, 0.000], [0.837, 0.337, 0.000]]
}

=====

[11]
{
  "formula": "NaCrTe",
  "functional": "GGA-PBE",
  "state": "optimized geometry",
  "density_g_cm3": 4.8,
  "e_form_raw_ev_per_atom": -0.10,
  "space_group": "P4/nmm, No. 129",
  "n_ef_per_ev_cell": 3.605,
  "cell": [[4.309, 0.000, 0.000], [0.000, 4.309, 0.000], [0.000, 0.000, 7.494]],
  "species": ["Na", "Na", "Cr", "Cr", "Te", "Te"],
  "fractional_positions": [[0.250, 0.250, 0.159], [0.750, 0.750, 0.841], [0.250, 0.750, 0.500], [0.750, 0.250, 0.500], [0.250, 0.250, 0.717], [0.750, 0.750, 0.283]]
}

=====

[12]
{
  "formula": "Na2Cr2Te5",
  "functional": "GGA-PBE",
  "state": "optimized geometry",
  "density_g_cm3": 5.4,
  "e_form_raw_ev_per_atom": -0.18,
  "space_group": "Cmce, No. 64",
  "n_ef_per_ev_cell": 11.385,
  "cell": [[7.790, -3.933, 0.000], [7.790, 3.933, 0.000], [0.000, 0.000, 7.887]],
  "species": ["Na", "Na", "Na", "Na", "Cr", "Cr", "Cr", "Cr", "Te", "Te", "Te", "Te", "Te", "Te", "Te", "Te", "Te", "Te"],
  "fractional_positions": [[0.210, 0.210, 0.000], [0.290, 0.290, 0.500], [0.710, 0.710, 0.500], [0.790, 0.790, 0.000], [0.138, 0.862, 0.639], [0.362, 0.638, 0.139], [0.638, 0.362, 0.861], [0.862, 0.138, 0.361], [0.000, 0.000, 0.000], [0.044, 0.735, 0.347], [0.235, 0.544, 0.847], [0.265, 0.956, 0.347], [0.456, 0.765, 0.847], [0.500, 0.500, 0.500], [0.544, 0.235, 0.153], [0.735, 0.044, 0.653], [0.765, 0.456, 0.153], [0.956, 0.265, 0.653]]
}

=====

Which formula does entry 12 have? Na2Cr2Te5

=====

What did the third record say?
{
  "formula": "NaCr3Tc",
  "functional": "GGA-PBE",
  "state": "optimized geometry",
  "density_g_cm3": 4.3,
  "ef_kcal_per_mol_atoms": 26.59,
  "space_group": "Pm-3m, No. 221",
  "n_ef_per_ev_cell": 3.766,
  "cell": [[4.756, 0.000, 0.000], [0.000, 4.756, 0.000], [0.000, 0.000, 4.756]],
  "species": ["Na", "Cr", "Cr", "Cr", "Tc"],
  "fractional_positions": [[0.000, 0.000, 0.000], [0.000, 0.500, 0.500], [0.500, 0.000, 0.500], [0.500, 0.500, 0.000], [0.500, 0.500, 0.500]]
}